# 1
# K2ScW

A geometry-optimized K2ScW structure (PBE-GGA, Alexandria).

Properties
As for the excess energy over the best structure of this formula in the dataset: 0.691 eV/atom. The calculation puts the density of states at the Fermi level at 3.44 states/eV/f.u. The calculation puts the theoretical density at 4.33 g/cm³. For the formation energy, the calculation gives 1.5812 eV/atom.

Cell lengths 5.4999, 5.4999, 5.4999 Å; angles 119.95, 119.95, 90.09 degrees
Closest atoms and distances in Å follow each position.
Positions (direct):
1 K 0.0000 0.0000 0.0000  4 W 3.37, 4 K 3.37
2 K 0.2500 0.7500 0.5000  4 K 3.37, 4 Sc 3.37
3 W 0.7500 0.2500 0.5000  4 Sc 3.37, 4 K 3.37
4 Sc 0.5000 0.5000 0.0000  4 W 3.37, 4 K 3.37


# 2
# SrGa2Ge2

A geometry-optimized SrGa2Ge2 structure (PBE-GGA, Alexandria).

Properties
The calculation puts the density of states at the Fermi level at 3.18 states/eV/f.u. The calculation puts the theoretical density at 5.46 g/cm³. For the formation energy, the calculation gives -0.1093 eV/atom.

Cell lengths 7.9491, 7.9491, 3.5835 Å; angles 90.00, 90.00, 90.00 degrees
Closest atoms and distances in Å follow each position.
Positions (direct):
1 Sr 0.5000 0.5000 0.0000  4 Ge 3.15, 8 Ga 3.52
2 Sr 0.0000 0.0000 0.0000  4 Ge 3.15, 8 Ga 3.52
3 Ga 0.1504 0.6504 0.5000  6 Ge 2.83-3.10
4 Ga 0.6504 0.8496 0.5000  6 Ge 2.83-3.10
5 Ga 0.8496 0.3496 0.5000  6 Ge 2.83-3.10
6 Ga 0.3496 0.1504 0.5000  6 Ge 2.83-3.10
7 Ge 0.6243 0.1243 0.0000  1 Ge 2.79, 6 Ga 2.83-3.10
8 Ge 0.8757 0.6243 0.0000  1 Ge 2.79, 6 Ga 2.83-3.10
9 Ge 0.1243 0.3757 0.0000  1 Ge 2.79, 6 Ga 2.83-3.10
10 Ge 0.3757 0.8757 0.0000  1 Ge 2.79, 6 Ga 2.83-3.10


# 3
# CrTc2Ni

A geometry-optimized CrTc2Ni structure (PBE-GGA, Alexandria).

Properties
As for the excess energy over the best structure of this formula in the dataset: 0.000 eV/atom. The calculation puts the density of states at the Fermi level at 3.57 states/eV/f.u. The calculation puts the theoretical density at 9.87 g/cm³. For the formation energy, the calculation gives 0.0209 eV/atom.

Cell lengths 3.7549, 3.7557, 3.6604 Å; angles 90.00, 90.00, 90.00 degrees
Closest atoms and distances in Å follow each position.
Positions (direct):
1 Tc 0.0000 0.0000 0.0000  4 Cr 2.62, 4 Ni 2.62, 4 Tc 2.66
2 Tc 0.5000 0.5000 0.0000  4 Ni 2.62, 4 Cr 2.62, 4 Tc 2.66
3 Cr 0.5000 0.0000 0.5000  8 Tc 2.62, 4 Ni 2.66
4 Ni 0.0000 0.5000 0.5000  8 Tc 2.62, 4 Cr 2.66


# 4
# HfSbBr2

A geometry-optimized HfSbBr2 structure (PBE-GGA, Alexandria).

Properties
As for the uncorrected formation energy: 169 meV/atom. As for the excess energy over the best structure of this formula in the dataset: 0.717 eV/atom. The calculation puts the density of states at the Fermi level at 2.93 states/eV/f.u. The calculation puts the theoretical density at 8.41 g/cm³.

Cell lengths 5.0464, 5.0464, 5.0464 Å; angles 60.00, 60.00, 60.00 degrees
Closest atoms and distances in Å follow each position.
Positions (direct):
1 Hf 0.5000 0.5000 0.5000  8 Br 3.09
2 Br 0.7500 0.7500 0.7500  4 Hf 3.09, 4 Sb 3.09
3 Br 0.2500 0.2500 0.2500  4 Hf 3.09, 4 Sb 3.09
4 Sb 0.0000 0.0000 0.0000  8 Br 3.09


# 5
# LiCdCoAu2

A geometry-optimized LiCdCoAu2 structure (PBE-GGA, Alexandria).

Properties
The calculation puts the density of states at the Fermi level at 2.87 states/eV/f.u. The calculation puts the theoretical density at 10.68 g/cm³. For the formation energy, the calculation gives 0.5946 eV/atom.

Cell lengths 4.4222, 4.5482, 4.4222 Å; angles 90.00, 90.00, 90.00 degrees
Closest atoms and distances in Å follow each position.
Positions (direct):
1 Cd 0.0000 0.5000 0.0000  2 Li 2.27
2 Li 0.0000 0.0000 0.0000  4 Au 2.21, 2 Cd 2.27
3 Au 0.0000 0.0000 0.5000  2 Li 2.21
4 Au 0.5000 0.0000 0.0000  2 Li 2.21
5 Co 0.5000 0.5000 0.5000  4 Cd 3.13, 8 Au 3.17


# 6
# DyMgBi

A geometry-optimized DyMgBi structure (PBE-GGA, Alexandria).

Properties
As for the excess energy over the best structure of this formula in the dataset: 0.058 eV/atom. The calculation puts the density of states at the Fermi level at 2.88 states/eV/f.u. The calculation puts the theoretical density at 7.92 g/cm³. For the formation energy, the calculation gives -0.2517 eV/atom.

Cell lengths 3.8414, 3.8414, 6.2437 Å; angles 107.92, 107.92, 90.00 degrees
Closest atoms and distances in Å follow each position.
Positions (direct):
1 Dy 0.9504 0.9504 0.9008  5 Mg 3.38-3.61, 5 Bi 3.39-3.60
2 Mg 0.6291 0.6291 0.2582  4 Bi 3.15, 4 Dy 3.38
3 Bi 0.2705 0.2705 0.5410  4 Mg 3.15, 4 Dy 3.39


# 7
# ScNi4H8

A geometry-optimized ScNi4H8 structure (PBE-GGA, Alexandria).

Properties
The calculation puts the density of states at the Fermi level at 7.33 states/eV/f.u. The value obtained for the uncorrected energy is -50.76 eV for the cell shown. The calculation puts the theoretical density at 4.82 g/cm³.

Cell lengths 4.6273, 4.6273, 4.6273 Å; angles 90.00, 90.00, 90.00 degrees
Closest atoms and distances in Å follow each position.
Positions (direct):
1 H 0.7692 0.2308 0.7692  4 Ni 1.85-2.06
2 H 0.2308 0.2308 0.2308  4 Ni 1.85-2.06
3 H 0.7692 0.7692 0.2308  4 Ni 1.85-2.06
4 H 0.2308 0.7692 0.2308  4 Ni 1.85-2.06
5 H 0.2308 0.7692 0.7692  4 Ni 1.85-2.06
6 H 0.7692 0.2308 0.2308  4 Ni 1.85-2.06
7 H 0.7692 0.7692 0.7692  4 Ni 1.85-2.06
8 H 0.2308 0.2308 0.7692  4 Ni 1.85-2.06
9 Ni 0.5000 0.0000 0.5000  8 H 2.06
10 Ni 0.5000 0.5000 0.0000  8 H 2.06
11 Ni 0.0000 0.0000 0.0000  8 H 1.85
12 Ni 0.0000 0.5000 0.5000  8 H 2.06
13 Sc 0.5000 0.5000 0.5000  8 H 2.16, 6 Ni 2.31


# 8
# AuSe3

A geometry-optimized AuSe3 structure (PBE-GGA, Alexandria).

Properties
As for the uncorrected formation energy: 166 meV/atom. The calculation puts the density of states at the Fermi level at 2.53 states/eV/f.u. The calculation puts the theoretical density at 6.17 g/cm³.

Cell lengths 4.9740, 5.2966, 8.8663 Å; angles 90.00, 90.00, 90.00 degrees
Closest atoms and distances in Å follow each position.
Positions (direct):
1 Au 0.5000 0.5000 0.4300  4 Se 2.59-2.70
2 Au 0.0000 0.0000 0.5700  4 Se 2.59-2.70
3 Se 0.5000 0.7503 0.0396  4 Se 2.58-2.65
4 Se 0.0000 0.7497 0.9604  4 Se 2.58-2.65
5 Se 0.0000 0.5000 0.5105  4 Au 2.59-2.70
6 Se 0.0000 0.2503 0.9604  4 Se 2.58-2.65
7 Se 0.5000 0.2497 0.0396  4 Se 2.58-2.65
8 Se 0.5000 0.0000 0.4895  4 Au 2.59-2.70